(1)
Below is crystalline LiGdTlAu at its relaxed geometry, with properties calculated at the PBE level.

The structure in extended XYZ format:
```
4
Lattice="5.030 0.000 0.000 2.515 4.357 0.000 2.515 1.452 4.107" Properties=species:S:1:pos:R:3 pbc="T T T"
Tl 2.515 1.452 1.027
Gd 5.030 2.904 2.054
Au 7.546 4.357 3.081
Li 0.000 0.000 0.000
```

Summary:
* total moment: 7.19 μB per formula unit
* Fermi-level density of states: 1.6 states/eV/f.u.
* SG: F-43m (216)
* final energy: -5.888 eV/atom

(2)
Below is crystalline MgSc2Re at its relaxed geometry, with properties calculated at the PBE level.

The structure in extended XYZ format:
```
4
Lattice="3.561 0.000 0.000 0.000 3.561 0.000 0.000 0.000 6.301" Properties=species:S:1:pos:R:3 pbc="T T T"
Mg 0.000 0.000 3.299
Re 1.781 1.781 4.913
Sc 0.000 0.000 6.043
Sc 1.781 1.781 1.497
```

Summary:
* total moment: 0.00 μB per formula unit
* Fermi-level density of states: 3.5 states/eV/f.u.
* SG: P4mm (99)
* final energy: -6.487 eV/atom